Model A:
HgTePdO: relaxed, PBE.

abc: 6.3374 10.8776 9.5345
angles: 90.00 90.00 90.00
Sites, in units of the cell vectors:
Te: 0.5012 0.0907 0.7496
Te: 0.4988 0.9093 0.2504
Te: 0.0012 0.4093 0.2504
Te: 0.9988 0.5907 0.7496
Te: 0.5012 0.4093 0.2496
Te: 0.0012 0.0907 0.7504
Te: 0.4988 0.5907 0.7504
Te: 0.9988 0.9093 0.2496
O: 0.7482 0.3446 0.8823
O: 0.2517 0.8446 0.6177
O: 0.2482 0.1554 0.1177
O: 0.7482 0.1554 0.3823
O: 0.2482 0.3446 0.6177
O: 0.7518 0.6554 0.3823
O: 0.2517 0.6554 0.1177
O: 0.7518 0.8446 0.8823
Hg: 0.7457 0.3511 0.5114
Hg: 0.2543 0.6489 0.4886
Hg: 0.2457 0.3511 0.9886
Hg: 0.7457 0.1489 0.0114
Hg: 0.2543 0.8511 0.9886
Hg: 0.2457 0.1489 0.4886
Hg: 0.7543 0.6489 0.0114
Hg: 0.7543 0.8511 0.5114
Pd: 0.0023 0.6587 0.2506
Pd: 0.4977 0.3413 0.7506
Pd: 0.4977 0.1587 0.2506
Pd: 0.5023 0.6587 0.2494
Pd: 0.0023 0.8413 0.7506
Pd: 0.5023 0.8413 0.7494
Pd: 0.9977 0.3413 0.7494
Pd: 0.9977 0.1587 0.2494

Output
SG = Pbca

Model B:
HgTePdO: relaxed, PBE.

abc: 7.4980 7.2993 5.9506
angles: 90.00 90.00 90.00
Sites, in units of the cell vectors:
Te: 0.0418 0.3186 0.6284
Te: 0.5418 0.6814 0.6284
Te: 0.9582 0.6814 0.1284
Te: 0.4582 0.3186 0.1284
Pd: 0.7507 0.9074 0.8790
Pd: 0.2507 0.0926 0.8790
Pd: 0.2493 0.0926 0.3790
Pd: 0.7493 0.9074 0.3790
Hg: 0.3460 0.7049 0.1142
Hg: 0.8460 0.2951 0.1142
Hg: 0.6540 0.2951 0.6142
Hg: 0.1540 0.7049 0.6142
O: 0.5688 0.9231 0.1284
O: 0.4312 0.0769 0.6284
O: 0.0688 0.0769 0.1284
O: 0.9312 0.9231 0.6284

Output
SG = Pca2_1

Relative to the most stable structure, the computed energies are model A 0; model B 56, all in meV per atom.

Model A:
DySbPO: relaxed, PBE.

abc: 3.6618 6.6464 7.0521
angles: 90.00 90.00 90.00
Sites, in units of the cell vectors:
P: 0.0000 0.3926 0.3008
P: 0.0000 0.6074 0.8008
O: 0.5000 0.0406 0.9668
O: 0.5000 0.9594 0.4668
Sb: 0.5000 0.7163 0.0427
Sb: 0.5000 0.2837 0.5427
Dy: 0.0000 0.2036 0.9437
Dy: 0.0000 0.7964 0.4437

Output
SG = Pmc2_1

Model B:
DySbPO: relaxed, PBE.

abc: 4.0315 4.0315 10.0084
angles: 90.00 90.00 90.00
Sites, in units of the cell vectors:
O: 0.0000 0.0000 0.0000
O: 0.5000 0.5000 0.0000
Sb: 0.0000 0.0000 0.5000
Sb: 0.5000 0.5000 0.5000
Dy: 0.0000 0.5000 0.1039
Dy: 0.5000 0.0000 0.8961
P: 0.5000 0.0000 0.2717
P: 0.0000 0.5000 0.7283

Output
SG = P4/nmm

Relative to the most stable structure, the computed energies are model A 63; model B 0, all in meV per atom.